# Zr4Ga2C, relaxed, DFT PBE-GGA
# - total energy (eV/atom) = -7.45
# - symmetry = P2_1/m (11)
data_Zr4Ga2C
_chemical_formula_sum 'Zr8 Ga4 C2'
_cell_length_a 5.910
_cell_length_b 5.740
_cell_length_c 8.178
_cell_angle_alpha 90.00
_cell_angle_beta 109.49
_cell_angle_gamma 90.00
_symmetry_space_group_name_H-M 'P 1'
_symmetry_Int_Tables_number 1
loop_
_symmetry_equiv_pos_as_xyz
'x,y,z'
loop_
_atom_site_label
_atom_site_type_symbol
_atom_site_fract_x
_atom_site_fract_y
_atom_site_fract_z
Zr1 Zr 0.934 0.250 0.128
Zr2 Zr 0.478 0.999 0.225
Zr3 Zr 0.522 0.499 0.775
Zr4 Zr 0.109 0.750 0.428
Zr5 Zr 0.478 0.501 0.225
Zr6 Zr 0.522 0.001 0.775
Zr7 Zr 0.891 0.250 0.572
Zr8 Zr 0.066 0.750 0.872
C1 C 0.856 0.250 0.839
C2 C 0.144 0.750 0.161
Ga1 Ga 0.303 0.250 0.458
Ga2 Ga 0.697 0.750 0.542
Ga3 Ga 0.226 0.250 0.918
Ga4 Ga 0.774 0.750 0.082

=====

# Zr3GaC, relaxed, DFT PBE-GGA
# - total energy (eV/atom) = -8.25
# - symmetry = Cmcm (63)
data_Zr3GaC
_chemical_formula_sum 'Zr6 Ga2 C2'
_cell_length_a 3.422
_cell_length_b 6.051
_cell_length_c 9.073
_cell_angle_alpha 90.00
_cell_angle_beta 90.00
_cell_angle_gamma 106.43
_symmetry_space_group_name_H-M 'P 1'
_symmetry_Int_Tables_number 1
loop_
_symmetry_equiv_pos_as_xyz
'x,y,z'
loop_
_atom_site_label
_atom_site_type_symbol
_atom_site_fract_x
_atom_site_fract_y
_atom_site_fract_z
C1 C 0.000 0.000 0.000
C2 C 0.000 0.000 0.500
Zr1 Zr 0.628 0.256 0.047
Zr2 Zr 0.372 0.744 0.953
Zr3 Zr 0.628 0.256 0.453
Zr4 Zr 0.951 0.901 0.250
Zr5 Zr 0.049 0.099 0.750
Zr6 Zr 0.372 0.744 0.547
Ga1 Ga 0.253 0.506 0.250
Ga2 Ga 0.747 0.494 0.750

=====

# Zr3GaC, relaxed, DFT PBE-GGA
# - total energy (eV/atom) = -7.87
# - symmetry = C2/m (12)
data_Zr3GaC
_chemical_formula_sum 'Zr6 Ga2 C2'
_cell_length_a 4.542
_cell_length_b 6.003
_cell_length_c 7.859
_cell_angle_alpha 75.74
_cell_angle_beta 90.00
_cell_angle_gamma 112.23
_symmetry_space_group_name_H-M 'P 1'
_symmetry_Int_Tables_number 1
loop_
_symmetry_equiv_pos_as_xyz
'x,y,z'
loop_
_atom_site_label
_atom_site_type_symbol
_atom_site_fract_x
_atom_site_fract_y
_atom_site_fract_z
C1 C 0.100 0.200 0.807
C2 C 0.900 0.800 0.193
Zr1 Zr 0.136 0.272 0.507
Zr2 Zr 0.892 0.783 0.903
Zr3 Zr 0.627 0.253 0.801
Zr4 Zr 0.373 0.747 0.199
Zr5 Zr 0.108 0.217 0.097
Zr6 Zr 0.864 0.728 0.493
Ga1 Ga 0.305 0.609 0.747
Ga2 Ga 0.695 0.391 0.253

=====

# Zr6Ga5C, relaxed, DFT PBE-GGA
# - total energy (eV/atom) = -6.79
# - symmetry = C2/m (12)
data_Zr6Ga5C
_chemical_formula_sum 'Zr6 Ga5 C1'
_cell_length_a 6.177
_cell_length_b 7.481
_cell_length_c 6.302
_cell_angle_alpha 53.59
_cell_angle_beta 82.14
_cell_angle_gamma 76.68
_symmetry_space_group_name_H-M 'P 1'
_symmetry_Int_Tables_number 1
loop_
_symmetry_equiv_pos_as_xyz
'x,y,z'
loop_
_atom_site_label
_atom_site_type_symbol
_atom_site_fract_x
_atom_site_fract_y
_atom_site_fract_z
Zr1 Zr 0.198 0.651 0.309
Zr2 Zr 0.717 0.829 0.000
Zr3 Zr 0.802 0.040 0.309
Zr4 Zr 0.283 0.171 0.000
Zr5 Zr 0.198 0.960 0.691
Zr6 Zr 0.802 0.349 0.691
Ga1 Ga 0.000 0.624 0.753
Ga2 Ga 0.500 0.766 0.467
Ga3 Ga 0.500 0.234 0.533
Ga4 Ga 0.500 0.500 0.000
Ga5 Ga 0.000 0.376 0.247
C1 C 0.000 0.000 0.000

=====

# GdC2, relaxed, DFT PBE-GGA
# - total energy (eV/atom) = -11.01
# - symmetry = I4/mmm (139)
data_GdC2
_chemical_formula_sum 'Gd1 C2'
_cell_length_a 4.102
_cell_length_b 4.102
_cell_length_c 4.102
_cell_angle_alpha 125.82
_cell_angle_beta 125.82
_cell_angle_gamma 80.19
_symmetry_space_group_name_H-M 'P 1'
_symmetry_Int_Tables_number 1
loop_
_symmetry_equiv_pos_as_xyz
'x,y,z'
loop_
_atom_site_label
_atom_site_type_symbol
_atom_site_fract_x
_atom_site_fract_y
_atom_site_fract_z
C1 C 0.604 0.604 0.000
C2 C 0.396 0.396 0.000
Gd1 Gd 0.000 0.000 0.000

=====

# Gd2GeC, relaxed, DFT PBE-GGA
# - total energy (eV/atom) = -10.56
# - symmetry = R-3m (166)
data_Gd2GeC
_chemical_formula_sum 'Gd2 Ge1 C1'
_cell_length_a 3.580
_cell_length_b 3.580
_cell_length_c 8.954
_cell_angle_alpha 78.47
_cell_angle_beta 78.47
_cell_angle_gamma 60.00
_symmetry_space_group_name_H-M 'P 1'
_symmetry_Int_Tables_number 1
loop_
_symmetry_equiv_pos_as_xyz
'x,y,z'
loop_
_atom_site_label
_atom_site_type_symbol
_atom_site_fract_x
_atom_site_fract_y
_atom_site_fract_z
C1 C 0.500 0.500 0.500
Gd1 Gd 0.885 0.885 0.344
Gd2 Gd 0.115 0.115 0.656
Ge1 Ge 0.000 0.000 0.000

=====

# Gd12Ge3C5, relaxed, DFT PBE-GGA
# - total energy (eV/atom) = -11.79
# - symmetry = Ia-3d (230)
data_Gd12Ge3C5
_chemical_formula_sum 'Gd48 Ge12 C20'
_cell_length_a 13.611
_cell_length_b 13.611
_cell_length_c 13.611
_cell_angle_alpha 109.47
_cell_angle_beta 109.47
_cell_angle_gamma 109.47
_symmetry_space_group_name_H-M 'P 1'
_symmetry_Int_Tables_number 1
loop_
_symmetry_equiv_pos_as_xyz
'x,y,z'
loop_
_atom_site_label
_atom_site_type_symbol
_atom_site_fract_x
_atom_site_fract_y
_atom_site_fract_z
Ge1 Ge 0.375 0.625 0.250
Ge2 Ge 0.625 0.250 0.375
Ge3 Ge 0.125 0.875 0.750
Ge4 Ge 0.750 0.875 0.625
Ge5 Ge 0.750 0.375 0.125
Ge6 Ge 0.250 0.625 0.875
Ge7 Ge 0.625 0.375 0.750
Ge8 Ge 0.875 0.750 0.125
Ge9 Ge 0.125 0.250 0.875
Ge10 Ge 0.875 0.125 0.250
Ge11 Ge 0.375 0.750 0.625
Ge12 Ge 0.250 0.125 0.375
Gd1 Gd 0.976 0.381 0.295
Gd2 Gd 0.795 0.476 0.381
Gd3 Gd 0.681 0.205 0.586
Gd4 Gd 0.795 0.319 0.914
Gd5 Gd 0.881 0.295 0.476
Gd6 Gd 0.181 0.086 0.705
Gd7 Gd 0.295 0.881 0.976
Gd8 Gd 0.381 0.976 0.795
Gd9 Gd 0.819 0.914 0.295
Gd10 Gd 0.476 0.795 0.881
Gd11 Gd 0.319 0.795 0.414
Gd12 Gd 0.881 0.586 0.905
Gd13 Gd 0.405 0.381 0.586
Gd14 Gd 0.295 0.414 0.819
Gd15 Gd 0.705 0.119 0.024
Gd16 Gd 0.181 0.095 0.976
Gd17 Gd 0.086 0.905 0.381
Gd18 Gd 0.619 0.595 0.914
Gd19 Gd 0.681 0.476 0.595
Gd20 Gd 0.095 0.914 0.119
Gd21 Gd 0.414 0.119 0.595
Gd22 Gd 0.524 0.319 0.905
Gd23 Gd 0.595 0.619 0.414
Gd24 Gd 0.524 0.205 0.119
Gd25 Gd 0.119 0.705 0.524
Gd26 Gd 0.705 0.586 0.181
Gd27 Gd 0.024 0.619 0.705
Gd28 Gd 0.905 0.819 0.524
Gd29 Gd 0.119 0.414 0.095
Gd30 Gd 0.319 0.524 0.405
Gd31 Gd 0.095 0.181 0.476
Gd32 Gd 0.205 0.681 0.086
Gd33 Gd 0.414 0.295 0.319
Gd34 Gd 0.205 0.524 0.619
Gd35 Gd 0.976 0.595 0.181
Gd36 Gd 0.086 0.181 0.205
Gd37 Gd 0.586 0.881 0.405
Gd38 Gd 0.476 0.681 0.095
Gd39 Gd 0.595 0.976 0.681
Gd40 Gd 0.024 0.405 0.819
Gd41 Gd 0.381 0.405 0.086
Gd42 Gd 0.619 0.024 0.205
Gd43 Gd 0.905 0.086 0.881
Gd44 Gd 0.405 0.024 0.319
Gd45 Gd 0.914 0.819 0.795
Gd46 Gd 0.586 0.705 0.681
Gd47 Gd 0.914 0.095 0.619
Gd48 Gd 0.819 0.905 0.024
C1 C 0.750 0.625 0.375
C2 C 0.000 0.500 0.500
C3 C 0.500 0.000 0.500
C4 C 0.000 0.000 0.000
C5 C 0.750 0.125 0.875
C6 C 0.625 0.750 0.875
C7 C 0.375 0.125 0.750
C8 C 0.875 0.250 0.625
C9 C 0.125 0.375 0.250
C10 C 0.375 0.250 0.125
C11 C 0.500 0.500 0.500
C12 C 0.500 0.500 0.000
C13 C 0.500 0.000 0.000
C14 C 0.875 0.625 0.750
C15 C 0.000 0.000 0.500
C16 C 0.000 0.500 0.000
C17 C 0.250 0.375 0.625
C18 C 0.250 0.875 0.125
C19 C 0.625 0.875 0.250
C20 C 0.125 0.750 0.375

=====

# GdH7C2SO8, relaxed, DFT PBE-GGA
# - total energy (eV/atom) = -6.59
# - symmetry = P-1 (2)
data_GdH7C2SO8
_chemical_formula_sum 'Gd2 H14 C4 S2 O16'
_cell_length_a 6.776
_cell_length_b 6.982
_cell_length_c 8.735
_cell_angle_alpha 111.21
_cell_angle_beta 89.65
_cell_angle_gamma 107.72
_symmetry_space_group_name_H-M 'P 1'
_symmetry_Int_Tables_number 1
loop_
_symmetry_equiv_pos_as_xyz
'x,y,z'
loop_
_atom_site_label
_atom_site_type_symbol
_atom_site_fract_x
_atom_site_fract_y
_atom_site_fract_z
O1 O 0.685 0.740 0.423
O2 O 0.789 0.739 0.155
O3 O 0.177 0.974 0.040
O4 O 0.211 0.261 0.845
O5 O 0.170 0.678 0.079
O6 O 0.995 0.816 0.660
O7 O 0.512 0.551 0.830
O8 O 0.254 0.627 0.407
O9 O 0.315 0.260 0.577
O10 O 0.830 0.322 0.921
O11 O 0.838 0.472 0.259
O12 O 0.162 0.528 0.741
O13 O 0.005 0.184 0.340
O14 O 0.746 0.373 0.593
O15 O 0.823 0.026 0.960
O16 O 0.488 0.449 0.170
H1 H 0.505 0.824 0.739
H2 H 0.425 0.964 0.344
H3 H 0.069 0.975 0.710
H4 H 0.575 0.036 0.656
H5 H 0.821 0.320 0.498
H6 H 0.931 0.025 0.290
H7 H 0.425 0.059 0.825
H8 H 0.575 0.941 0.175
H9 H 0.117 0.208 0.426
H10 H 0.883 0.792 0.574
H11 H 0.595 0.321 0.558
H12 H 0.405 0.679 0.442
H13 H 0.495 0.176 0.261
H14 H 0.179 0.680 0.502
Gd1 Gd 0.120 0.356 0.132
Gd2 Gd 0.880 0.644 0.868
S1 S 0.300 0.401 0.748
S2 S 0.700 0.599 0.252
C1 C 0.450 0.002 0.232
C2 C 0.550 0.998 0.768
C3 C 0.258 0.881 0.113
C4 C 0.742 0.119 0.887

=====

# Gd2HfC, relaxed, DFT PBE-GGA
# - total energy (eV/atom) = -11.63
# - symmetry = R-3m (166)
data_Gd2HfC
_chemical_formula_sum 'Gd2 Hf1 C1'
_cell_length_a 3.429
_cell_length_b 3.429
_cell_length_c 9.527
_cell_angle_alpha 79.63
_cell_angle_beta 79.63
_cell_angle_gamma 60.00
_symmetry_space_group_name_H-M 'P 1'
_symmetry_Int_Tables_number 1
loop_
_symmetry_equiv_pos_as_xyz
'x,y,z'
loop_
_atom_site_label
_atom_site_type_symbol
_atom_site_fract_x
_atom_site_fract_y
_atom_site_fract_z
Gd1 Gd 0.883 0.883 0.350
Gd2 Gd 0.117 0.117 0.650
Hf1 Hf 0.000 0.000 0.000
C1 C 0.500 0.500 0.500

=====

# Gd3HgC, relaxed, DFT PBE-GGA
# - total energy (eV/atom) = -10.71
# - symmetry = Pm-3m (221)
data_Gd3HgC
_chemical_formula_sum 'Gd3 Hg1 C1'
_cell_length_a 4.963
_cell_length_b 4.963
_cell_length_c 4.963
_cell_angle_alpha 90.00
_cell_angle_beta 90.00
_cell_angle_gamma 90.00
_symmetry_space_group_name_H-M 'P 1'
_symmetry_Int_Tables_number 1
loop_
_symmetry_equiv_pos_as_xyz
'x,y,z'
loop_
_atom_site_label
_atom_site_type_symbol
_atom_site_fract_x
_atom_site_fract_y
_atom_site_fract_z
Gd1 Gd 0.500 0.000 0.000
Gd2 Gd 0.000 0.000 0.500
Gd3 Gd 0.000 0.500 0.000
C1 C 0.000 0.000 0.000
Hg1 Hg 0.500 0.500 0.500

=====

# Gd2HoC, relaxed, DFT PBE-GGA
# - total energy (eV/atom) = -10.54
# - symmetry = R-3m (166)
data_Gd2HoC
_chemical_formula_sum 'Gd2 Ho1 C1'
_cell_length_a 3.560
_cell_length_b 3.560
_cell_length_c 9.888
_cell_angle_alpha 79.63
_cell_angle_beta 79.63
_cell_angle_gamma 60.00
_symmetry_space_group_name_H-M 'P 1'
_symmetry_Int_Tables_number 1
loop_
_symmetry_equiv_pos_as_xyz
'x,y,z'
loop_
_atom_site_label
_atom_site_type_symbol
_atom_site_fract_x
_atom_site_fract_y
_atom_site_fract_z
Gd1 Gd 0.119 0.119 0.642
Gd2 Gd 0.881 0.881 0.358
Ho1 Ho 0.000 0.000 0.000
C1 C 0.500 0.500 0.500

=====

# GdHo2C, relaxed, DFT PBE-GGA
# - total energy (eV/atom) = -8.29
# - symmetry = R-3m (166)
data_GdHo2C
_chemical_formula_sum 'Gd1 Ho2 C1'
_cell_length_a 3.554
_cell_length_b 3.554
_cell_length_c 9.400
_cell_angle_alpha 79.10
_cell_angle_beta 79.10
_cell_angle_gamma 60.00
_symmetry_space_group_name_H-M 'P 1'
_symmetry_Int_Tables_number 1
loop_
_symmetry_equiv_pos_as_xyz
'x,y,z'
loop_
_atom_site_label
_atom_site_type_symbol
_atom_site_fract_x
_atom_site_fract_y
_atom_site_fract_z
Ho1 Ho 0.716 0.716 0.853
Ho2 Ho 0.284 0.284 0.147
C1 C 0.000 0.000 0.000
Gd1 Gd 0.500 0.500 0.500